*w*
! PBE-GGA YCu3O, relaxed; values from VASP
! space-group type	Pm-3m
! D(E_F)	10.35	states/eV per cell
&SYSTEM
  ibrav = 0, nat = 5, ntyp = 3
/
ATOMIC_SPECIES
Y 88.91 Y.upf
O 16.00 O.upf
Cu 63.55 Cu.upf
CELL_PARAMETERS angstrom
5.155 0.000 0.000
0.000 5.155 0.000
0.000 0.000 5.155
ATOMIC_POSITIONS angstrom
Y 0.000 0.000 0.000
O 2.578 2.578 2.578
Cu 0.000 2.578 0.000
Cu 0.000 0.000 2.578
Cu 2.578 0.000 0.000

---

*x*
! PBE-GGA YCu3O, relaxed; values from VASP
! space-group type	Pm-3m
! D(E_F)	4.03	states/eV per cell
&SYSTEM
  ibrav = 0, nat = 5, ntyp = 3
/
ATOMIC_SPECIES
Y 88.91 Y.upf
O 16.00 O.upf
Cu 63.55 Cu.upf
CELL_PARAMETERS angstrom
-3.992 -0.078 1.417
1.351 -1.507 3.722
0.435 3.959 1.445
ATOMIC_POSITIONS angstrom
Y -1.103 1.187 3.292
O 0.000 0.000 0.000
Cu 0.676 -0.754 1.861
Cu 0.218 1.979 0.723
Cu -1.996 -0.039 0.709

---

Verdict on stability: *w* comes out at the bottom.

---

*w*
! PBE-GGA Y2CuO2, relaxed; values from VASP
! space-group type	P4/mbm
! D(E_F)	3.45	states/eV per cell
&SYSTEM
  ibrav = 0, nat = 10, ntyp = 3
/
ATOMIC_SPECIES
Y 88.91 Y.upf
O 16.00 O.upf
Cu 63.55 Cu.upf
CELL_PARAMETERS angstrom
6.805 0.000 0.000
0.000 6.805 0.000
0.000 0.000 3.044
ATOMIC_POSITIONS angstrom
Y 1.131 4.534 1.522
Y 4.534 5.674 1.522
Y 5.674 2.271 1.522
Y 2.271 1.131 1.522
O 2.487 5.889 0.000
O 5.889 4.319 0.000
O 4.319 0.916 0.000
O 0.916 2.487 0.000
Cu 0.000 0.000 0.000
Cu 3.403 3.403 0.000

---

*x*
! PBE-GGA Y2CuO2, relaxed; values from VASP
! space-group type	I4/mmm
! D(E_F)	4.09	states/eV per cell
&SYSTEM
  ibrav = 0, nat = 5, ntyp = 3
/
ATOMIC_SPECIES
Y 88.91 Y.upf
O 16.00 O.upf
Cu 63.55 Cu.upf
CELL_PARAMETERS angstrom
4.549 0.000 0.000
0.000 4.549 0.000
2.275 2.275 4.570
ATOMIC_POSITIONS angstrom
Y 4.549 2.275 2.285
Y 2.275 4.549 2.285
O 2.275 2.275 1.944
O 4.549 4.549 2.626
Cu 0.000 0.000 0.000

---

Verdict on stability: *x* comes out at the bottom.

---

*w*
! PBE-GGA Y2Cu2O5, relaxed; values from VASP
! space-group type	C2/m
! D(E_F)	3.03	states/eV per cell
&SYSTEM
  ibrav = 0, nat = 9, ntyp = 3
/
ATOMIC_SPECIES
Y 88.91 Y.upf
Cu 63.55 Cu.upf
O 16.00 O.upf
CELL_PARAMETERS angstrom
-3.877 0.395 0.675
-0.918 -0.938 -4.720
2.052 -5.386 3.346
ATOMIC_POSITIONS angstrom
Y -2.218 -1.347 -0.363
Y -0.525 -4.581 -0.337
Cu -2.029 -4.121 2.343
Cu -0.714 -1.808 -3.043
O -2.657 -1.487 -2.801
O -0.086 -4.442 2.102
O -2.261 -3.421 0.605
O -0.483 -2.508 -1.304
O 0.000 0.000 0.000

---

*x*
! PBE-GGA Y2Cu2O5, relaxed; values from VASP
! space-group type	Pnma
! D(E_F)	9.21	states/eV per cell
&SYSTEM
  ibrav = 0, nat = 36, ntyp = 3
/
ATOMIC_SPECIES
Y 88.91 Y.upf
Cu 63.55 Cu.upf
O 16.00 O.upf
CELL_PARAMETERS angstrom
6.278 0.000 0.000
0.000 7.201 0.000
0.000 0.000 11.246
ATOMIC_POSITIONS angstrom
Y 1.569 6.338 0.227
Y 4.708 4.464 5.396
Y 1.570 2.737 11.019
Y 4.709 0.863 5.850
Y 4.709 0.863 11.019
Y 1.570 2.737 5.850
Y 4.708 4.464 0.227
Y 1.569 6.338 5.396
Cu 5.839 6.086 2.812
Cu 2.700 4.716 2.812
Cu 3.578 2.486 8.435
Cu 0.439 1.115 8.435
Cu 2.579 0.909 2.812
Cu 5.718 2.692 2.812
Cu 0.560 4.510 8.435
Cu 3.699 6.292 8.435
O 1.531 6.338 2.812
O 4.670 4.464 2.812
O 1.608 2.737 8.435
O 4.747 0.863 8.435
O 5.680 6.371 0.992
O 2.541 4.431 4.631
O 3.737 2.770 10.254
O 0.598 0.831 6.615
O 0.598 0.831 10.254
O 3.737 2.770 6.615
O 2.541 4.431 0.992
O 5.680 6.371 4.631
O 2.694 1.026 0.967
O 5.833 2.575 4.656
O 0.445 4.627 10.279
O 3.584 6.175 6.590
O 3.584 6.175 10.279
O 0.445 4.627 6.590
O 5.833 2.575 0.967
O 2.694 1.026 4.656

---

*y*
! PBE-GGA Y2Cu2O5, relaxed; values from VASP
! space-group type	Pna2_1
&SYSTEM
  ibrav = 0, nat = 36, ntyp = 3
/
ATOMIC_SPECIES
Y 88.91 Y.upf
Cu 63.55 Cu.upf
O 16.00 O.upf
CELL_PARAMETERS angstrom
-1.570 -2.010 2.460
5.137 -8.812 -3.922
9.604 2.105 7.849
ATOMIC_POSITIONS angstrom
Y 9.863 -2.845 5.384
Y 4.800 -5.545 2.222
Y 12.517 -7.141 3.290
Y 2.146 -1.248 4.316
Y 5.872 -2.083 3.467
Y 2.508 -7.684 -0.996
Y 8.530 -6.374 1.366
Y -0.150 -3.392 1.105
Cu 6.782 -2.280 6.764
Cu 5.749 -6.576 -0.901
Cu 9.641 -6.315 4.349
Cu 2.890 -2.542 1.515
Cu 4.891 -0.146 6.376
Cu 5.611 -9.155 -2.170
Cu 7.181 -4.910 4.852
Cu 3.321 -4.392 -0.647
O 9.302 0.830 8.000
O 8.137 -8.610 1.876
O 11.939 -3.490 5.933
O 5.501 -4.291 3.942
O 6.544 -0.490 7.481
O 6.849 -8.178 -0.913
O 9.037 -4.992 5.638
O 4.356 -3.675 0.930
O 8.076 -2.203 4.099
O 3.444 -6.875 0.938
O 10.318 -7.026 2.649
O 1.202 -2.052 2.388
O 5.122 -1.940 5.662
O 4.511 -7.552 -2.167
O 7.784 -6.227 3.556
O 1.849 -3.265 -0.060
O 3.878 -1.335 2.780
O 11.318 -6.938 5.262
O 6.520 -5.646 0.703
O 8.675 -2.626 7.338

---

Verdict on stability: *w* comes out at the bottom.

---

*w*
! PBE-GGA Y2CuO4, relaxed; values from VASP
! space-group type	Cmce
! D(E_F)	3.67	states/eV per cell
&SYSTEM
  ibrav = 0, nat = 14, ntyp = 3
/
ATOMIC_SPECIES
Y 88.91 Y.upf
Cu 63.55 Cu.upf
O 16.00 O.upf
CELL_PARAMETERS angstrom
-5.649 -2.871 -1.697
6.045 -0.756 -2.433
0.957 -4.030 3.630
ATOMIC_POSITIONS angstrom
Y -1.603 -2.139 -1.952
Y 1.999 -1.488 -2.178
Y -3.369 -4.560 0.005
Y 4.722 -3.096 -0.505
Cu 0.000 0.000 0.000
Cu 0.677 -3.828 -0.250
O 0.474 -3.376 -2.165
O -2.582 -2.475 0.022
O 3.265 -1.418 -0.346
O 0.364 -1.930 0.232
O 0.989 -5.726 -0.732
O -1.912 -6.239 -0.154
O 3.935 -5.181 -0.522
O 0.879 -4.281 1.665

---

*x*
! PBE-GGA Y2CuO4, relaxed; values from VASP
! space-group type	I4/mmm
! D(E_F)	0.95	states/eV per cell
&SYSTEM
  ibrav = 0, nat = 7, ntyp = 3
/
ATOMIC_SPECIES
Y 88.91 Y.upf
Cu 63.55 Cu.upf
O 16.00 O.upf
CELL_PARAMETERS angstrom
6.495 0.002 0.000
4.173 4.977 0.000
-5.334 -2.489 2.745
ATOMIC_POSITIONS angstrom
Y 3.714 1.733 0.000
Y 6.953 3.245 0.000
Cu 0.000 0.000 0.000
O 0.581 -1.244 1.373
O 3.247 0.001 1.373
O -0.581 1.244 1.373
O 2.086 2.488 1.373

---

Verdict on stability: *x* comes out at the bottom.